# PBE with a Hubbard U LiHoMnF6, optimized geometry
# - theoretical density (g/cm³) = 4.7
# - Fermi-level density of states (states/eV/cell) = 0.000
# - E_tot (eV per atom) = -6.147
data_LiHoMnF6
_chemical_formula_sum 'Li2 Ho2 Mn2 F12'
_cell_length_a 5.4144
_cell_length_b 5.4144
_cell_length_c 9.3940
_cell_angle_alpha 90.00
_cell_angle_beta 90.00
_cell_angle_gamma 120.00
_space_group_name_H-M_alt 'P -3 1 c'
_space_group_IT_number 163
_space_group_name_Hall '-P 3 2c'
loop_
_atom_site_label
_atom_site_fract_x
_atom_site_fract_y
_atom_site_fract_z
Li1 0.3333 0.6667 0.2500
Ho1 0.3333 0.6667 0.7500
Mn1 0.0000 0.0000 0.0000
F1 0.0135 0.3380 0.1298